Entry 1:
# GGA-PBE Eu3H, relaxed
data_Eu3H
_cell_length_a 8.9377
_cell_length_b 8.9377
_cell_length_c 3.6129
_cell_angle_alpha 90.00
_cell_angle_beta 90.00
_cell_angle_gamma 120.00
_space_group_name_H-M_alt 'P 1'
_space_group_IT_number 1
loop_
_space_group_symop_operation_xyz
'x,y,z'
loop_
_atom_site_label
_atom_site_fract_x
_atom_site_fract_y
_atom_site_fract_z
Eu1 0.7938 0.5877 0.7500
Eu2 0.2062 0.7938 0.2500
Eu3 0.4123 0.2062 0.7500
Eu4 0.5877 0.7938 0.2500
Eu5 0.7938 0.2062 0.7500
Eu6 0.2062 0.4123 0.2500
H1 0.6667 0.3333 0.2500
H2 0.3333 0.6667 0.7500
# Distance to the lowest polymorph of the same formula   144 meV/atom

---

Entry 2:
# GGA-PBE Zr5Ni, relaxed
data_Zr5Ni
_cell_length_a 5.7310
_cell_length_b 5.7310
_cell_length_c 5.7310
_cell_angle_alpha 60.00
_cell_angle_beta 60.00
_cell_angle_gamma 60.00
_space_group_name_H-M_alt 'P 1'
_space_group_IT_number 1
loop_
_space_group_symop_operation_xyz
'x,y,z'
loop_
_atom_site_label
_atom_site_fract_x
_atom_site_fract_y
_atom_site_fract_z
Zr1 0.1276 0.6241 0.6241
Zr2 0.6241 0.6241 0.6241
Zr3 0.2500 0.2500 0.2500
Zr4 0.6241 0.6241 0.1276
Zr5 0.6241 0.1276 0.6241
Ni1 0.0000 0.0000 0.0000
# Distance to the lowest polymorph of the same formula   596 meV/atom
# ΔH_f (0 K)   478 meV per atom

---

Entry 3:
# GGA-PBE HfUTiZn, relaxed
data_HfUTiZn
_cell_length_a 4.7556
_cell_length_b 4.7556
_cell_length_c 4.7556
_cell_angle_alpha 60.00
_cell_angle_beta 60.00
_cell_angle_gamma 60.00
_space_group_name_H-M_alt 'P 1'
_space_group_IT_number 1
loop_
_space_group_symop_operation_xyz
'x,y,z'
loop_
_atom_site_label
_atom_site_fract_x
_atom_site_fract_y
_atom_site_fract_z
Zn1 0.5000 0.5000 0.5000
U1 0.0000 0.0000 0.0000
Ti1 0.2500 0.2500 0.2500
Hf1 0.7500 0.7500 0.7500
# ΔH_f (0 K)   291 meV per atom

---

Entry 4:
# GGA-PBE CaPmF6, relaxed
data_CaPmF6
_cell_length_a 4.0036
_cell_length_b 5.0395
_cell_length_c 5.0395
_cell_angle_alpha 93.19
_cell_angle_beta 90.00
_cell_angle_gamma 90.00
_space_group_name_H-M_alt 'P 1'
_space_group_IT_number 1
loop_
_space_group_symop_operation_xyz
'x,y,z'
loop_
_atom_site_label
_atom_site_fract_x
_atom_site_fract_y
_atom_site_fract_z
Pm1 0.5000 0.4926 0.5074
F1 0.5000 0.3161 0.0634
F2 0.0000 0.6586 0.3414
F3 0.0000 0.1943 0.4370
F4 0.5000 0.8383 0.1617
F5 0.0000 0.5630 0.8057
F6 0.5000 0.9366 0.6839
Ca1 0.0000 0.0006 0.9994
# Distance to the lowest polymorph of the same formula   17 meV/atom
# Uncorrected formation energy   -3.367 eV/atom

---

Entry 5:
# GGA-PBE CdGaBr2, relaxed
data_CdGaBr2
_cell_length_a 9.8970
_cell_length_b 9.8970
_cell_length_c 9.8970
_cell_angle_alpha 22.81
_cell_angle_beta 22.81
_cell_angle_gamma 22.81
_space_group_name_H-M_alt 'P 1'
_space_group_IT_number 1
loop_
_space_group_symop_operation_xyz
'x,y,z'
loop_
_atom_site_label
_atom_site_fract_x
_atom_site_fract_y
_atom_site_fract_z
Br1 0.1075 0.1075 0.1075
Br2 0.8925 0.8925 0.8925
Ga1 0.0000 0.0000 0.0000
Cd1 0.5000 0.5000 0.5000
# Distance to the lowest polymorph of the same formula   0 meV/atom
# Uncorrected formation energy   -0.343 eV/atom

---

Entry 6:
# GGA-PBE Ru3Au, relaxed
data_Ru3Au
_cell_length_a 4.7935
_cell_length_b 8.9869
_cell_length_c 5.5120
_cell_angle_alpha 90.00
_cell_angle_beta 90.00
_cell_angle_gamma 90.00
_space_group_name_H-M_alt 'P 1'
_space_group_IT_number 1
loop_
_space_group_symop_operation_xyz
'x,y,z'
loop_
_atom_site_label
_atom_site_fract_x
_atom_site_fract_y
_atom_site_fract_z
Au1 0.5850 0.7500 0.8737
Au2 0.0850 0.7500 0.6263
Au3 0.9150 0.2500 0.3737
Au4 0.4150 0.2500 0.1263
Ru1 0.2611 0.9939 0.3777
Ru2 0.4227 0.2500 0.6354
Ru3 0.5773 0.7500 0.3646
Ru4 0.7611 0.9939 0.1223
Ru5 0.0773 0.7500 0.1354
Ru6 0.9227 0.2500 0.8646
Ru7 0.7389 0.4939 0.6223
Ru8 0.2611 0.5061 0.3777
Ru9 0.2389 0.4939 0.8777
Ru10 0.2389 0.0061 0.8777
Ru11 0.7389 0.0061 0.6223
Ru12 0.7611 0.5061 0.1223
# Distance to the lowest polymorph of the same formula   160 meV/atom
# ΔH_f (0 K)   330 meV per atom